1.
DFT (PBE) results for a geometry-optimized PrTaAsO structure.

Geometry as POSCAR:
```
PrTaAsO
1.0
-2.9019 -2.7679 -0.4851
1.4289 -0.8530 -3.6808
5.5984 -6.5149 3.6831
As O Pr Ta
2 2 2 2
direct
0.7500 0.7500 0.3106
0.2500 0.2500 0.6894
0.7500 0.2500 0.0000
0.2500 0.7500 0.0000
0.2500 0.2500 0.1302
0.7500 0.7500 0.8698
0.7500 0.2500 0.5000
0.2500 0.7500 0.5000
```

Calculated values
SG ... P4/nmm
Total magnetization ... 0.08 μB/f.u.
Calculated volume ... 19.064 A^3/atom
Crystal system ... tetragonal
Calculated total energy ... -8.33 eV per atom
Relative energy among the computed polymorphs ... 0.0 kJ/mol of atoms



2.
DFT (PBE) results for a geometry-optimized LuCu2Au structure.

Geometry as POSCAR:
```
LuCu2Au
1.0
1.8426 -0.4687 4.1729
-0.9943 3.0264 3.2985
-2.6316 -1.2501 3.5412
Au Cu Lu
1 2 1
direct
0.7500 0.7500 0.7500
0.0000 0.0000 0.0000
0.2500 0.2500 0.2500
0.5000 0.5000 0.5000
```

Calculated values
SG ... F-43m
Total magnetization ... 0.00 μB/f.u.
Calculated volume ... 17.046 A^3/atom
Crystal system ... cubic
Calculated total energy ... -4.14 eV per atom



3.
DFT (PBE) results for a geometry-optimized PrAgO3 structure.

Geometry as POSCAR:
```
PrAgO3
1.0
-0.6449 -5.1988 -2.6115
-3.1805 -0.4423 -4.8941
2.7547 -1.0259 -5.1980
Ag O Pr
2 6 2
direct
0.6497 0.6497 0.0509
0.3503 0.3503 0.9491
0.9524 0.5273 0.2407
0.2796 0.9524 0.2407
0.5273 0.2796 0.2407
0.4727 0.7204 0.7593
0.7204 0.0476 0.7593
0.0476 0.4727 0.7593
0.8710 0.8710 0.3871
0.1290 0.1290 0.6129
```

Calculated values
SG ... R-3
Total magnetization ... 0.00 μB/f.u.
Calculated volume ... 14.609 A^3/atom
Crystal system ... trigonal
Calculated total energy ... -5.92 eV per atom



> What is the formula in the third record?

PrAgO3



> What is the calculated volume in the third record?

14.609 A^3/atom